# GGA-PBE Tb3NdPt8, optimized geometry
data_Tb3NdPt8
_chemical_formula_sum 'Tb3 Nd1 Pt8'
_symmetry_space_group_name_H-M 'P 1'
_symmetry_Int_Tables_number 1
_cell_length_a 9.469
_cell_length_b 9.469
_cell_length_c 9.469
_cell_angle_alpha 33.54
_cell_angle_beta 33.54
_cell_angle_gamma 33.54
loop_
_symmetry_equiv_pos_as_xyz
'x,y,z'
loop_
_atom_site_label
_atom_site_fract_x
_atom_site_fract_y
_atom_site_fract_z
Tb1 0.000 0.000 0.000
Tb2 0.124 0.124 0.124
Tb3 0.498 0.498 0.498
Nd1 0.624 0.624 0.624
Pt1 0.061 0.061 0.560
Pt2 0.061 0.560 0.061
Pt3 0.063 0.562 0.562
Pt4 0.312 0.312 0.312
Pt5 0.560 0.061 0.061
Pt6 0.562 0.063 0.562
Pt7 0.562 0.562 0.063
Pt8 0.812 0.812 0.812
# Total magnetic moment = 0.0 μB per formula unit
# Calculated formation energy = -1.10 eV per atom
# Crystal system = trigonal
# Energy above the lowest structure with this stoichiometry = 0.000 eV/atom



# GGA-PBE TbNd5Pt4, optimized geometry
data_TbNd5Pt4
_chemical_formula_sum 'Tb1 Nd5 Pt4'
_symmetry_space_group_name_H-M 'P 1'
_symmetry_Int_Tables_number 1
_cell_length_a 9.317
_cell_length_b 9.317
_cell_length_c 8.150
_cell_angle_alpha 105.61
_cell_angle_beta 105.61
_cell_angle_gamma 26.09
loop_
_symmetry_equiv_pos_as_xyz
'x,y,z'
loop_
_atom_site_label
_atom_site_fract_x
_atom_site_fract_y
_atom_site_fract_z
Tb1 0.000 0.000 0.000
Nd1 0.000 0.000 0.500
Nd2 0.333 0.333 0.142
Nd3 0.335 0.335 0.653
Nd4 0.665 0.665 0.347
Nd5 0.667 0.667 0.858
Pt1 0.169 0.169 0.109
Pt2 0.499 0.499 0.749
Pt3 0.501 0.501 0.251
Pt4 0.831 0.831 0.891
# Total magnetic moment = 0.0 μB per formula unit
# Calculated formation energy = -0.87 eV per atom
# Crystal system = monoclinic



# GGA-PBE Tb2NdPt, optimized geometry
data_Tb2NdPt
_chemical_formula_sum 'Tb2 Nd1 Pt1'
_symmetry_space_group_name_H-M 'P 1'
_symmetry_Int_Tables_number 1
_cell_length_a 3.580
_cell_length_b 3.580
_cell_length_c 8.731
_cell_angle_alpha 90.00
_cell_angle_beta 90.00
_cell_angle_gamma 90.00
loop_
_symmetry_equiv_pos_as_xyz
'x,y,z'
loop_
_atom_site_label
_atom_site_fract_x
_atom_site_fract_y
_atom_site_fract_z
Tb1 0.000 0.000 0.189
Tb2 0.000 0.000 0.811
Nd1 0.500 0.500 0.500
Pt1 0.500 0.500 0.000
# Total magnetic moment = 0.0 μB per formula unit
# Calculated formation energy = -0.59 eV per atom
# Crystal system = tetragonal
# Energy above the lowest structure with this stoichiometry = 0.088 eV/atom



# GGA-PBE Tb3Nd2Pt2, optimized geometry
data_Tb3Nd2Pt2
_chemical_formula_sum 'Tb6 Nd4 Pt4'
_symmetry_space_group_name_H-M 'P 1'
_symmetry_Int_Tables_number 1
_cell_length_a 12.543
_cell_length_b 3.801
_cell_length_c 9.175
_cell_angle_alpha 90.00
_cell_angle_beta 116.95
_cell_angle_gamma 90.00
loop_
_symmetry_equiv_pos_as_xyz
'x,y,z'
loop_
_atom_site_label
_atom_site_fract_x
_atom_site_fract_y
_atom_site_fract_z
Tb1 0.000 0.000 0.000
Tb2 0.116 0.000 0.436
Tb3 0.384 0.500 0.564
Tb4 0.500 0.500 0.000
Tb5 0.616 0.500 0.436
Tb6 0.884 0.000 0.564
Nd1 0.161 0.500 0.812
Nd2 0.339 0.000 0.188
Nd3 0.661 0.000 0.812
Nd4 0.839 0.500 0.188
Pt1 0.168 0.500 0.241
Pt2 0.332 0.000 0.759
Pt3 0.668 0.000 0.241
Pt4 0.832 0.500 0.759
# Total magnetic moment = 0.0 μB per formula unit
# Calculated formation energy = -0.76 eV per atom
# Crystal system = monoclinic



# GGA-PBE Tb2NdPt9, optimized geometry
data_Tb2NdPt9
_chemical_formula_sum 'Tb2 Nd1 Pt9'
_symmetry_space_group_name_H-M 'P 1'
_symmetry_Int_Tables_number 1
_cell_length_a 9.394
_cell_length_b 9.394
_cell_length_c 9.394
_cell_angle_alpha 33.66
_cell_angle_beta 33.66
_cell_angle_gamma 33.66
loop_
_symmetry_equiv_pos_as_xyz
'x,y,z'
loop_
_atom_site_label
_atom_site_fract_x
_atom_site_fract_y
_atom_site_fract_z
Tb1 0.140 0.140 0.140
Tb2 0.860 0.860 0.860
Nd1 0.000 0.000 0.000
Pt1 0.081 0.588 0.588
Pt2 0.333 0.333 0.333
Pt3 0.412 0.412 0.919
Pt4 0.412 0.919 0.412
Pt5 0.500 0.500 0.500
Pt6 0.588 0.081 0.588
Pt7 0.588 0.588 0.081
Pt8 0.667 0.667 0.667
Pt9 0.919 0.412 0.412
# Total magnetic moment = 0.0 μB per formula unit
# Calculated formation energy = -0.95 eV per atom
# Crystal system = trigonal



# GGA-PBE Tb2NdPt2, optimized geometry
data_Tb2NdPt2
_chemical_formula_sum 'Tb4 Nd2 Pt4'
_symmetry_space_group_name_H-M 'P 1'
_symmetry_Int_Tables_number 1
_cell_length_a 7.900
_cell_length_b 7.900
_cell_length_c 3.941
_cell_angle_alpha 90.00
_cell_angle_beta 90.00
_cell_angle_gamma 90.00
loop_
_symmetry_equiv_pos_as_xyz
'x,y,z'
loop_
_atom_site_label
_atom_site_fract_x
_atom_site_fract_y
_atom_site_fract_z
Tb1 0.160 0.340 0.000
Tb2 0.340 0.840 0.000
Tb3 0.660 0.160 0.000
Tb4 0.840 0.660 0.000
Nd1 0.000 0.000 0.500
Nd2 0.500 0.500 0.500
Pt1 0.135 0.635 0.500
Pt2 0.365 0.135 0.500
Pt3 0.635 0.865 0.500
Pt4 0.865 0.365 0.500
# Total magnetic moment = 0.0 μB per formula unit
# Calculated formation energy = -0.99 eV per atom
# Crystal system = tetragonal
# Energy above the lowest structure with this stoichiometry = 0.000 eV/atom



# GGA-PBE TbNdPt2, optimized geometry
data_TbNdPt2
_chemical_formula_sum 'Tb2 Nd2 Pt4'
_symmetry_space_group_name_H-M 'P 1'
_symmetry_Int_Tables_number 1
_cell_length_a 4.527
_cell_length_b 3.863
_cell_length_c 10.749
_cell_angle_alpha 90.00
_cell_angle_beta 90.00
_cell_angle_gamma 90.00
loop_
_symmetry_equiv_pos_as_xyz
'x,y,z'
loop_
_atom_site_label
_atom_site_fract_x
_atom_site_fract_y
_atom_site_fract_z
Tb1 0.000 0.000 0.000
Tb2 0.000 0.500 0.500
Nd1 0.500 0.000 0.725
Nd2 0.500 0.500 0.225
Pt1 0.000 0.000 0.277
Pt2 0.000 0.500 0.777
Pt3 0.500 0.000 0.452
Pt4 0.500 0.500 0.952
# Total magnetic moment = 0.0 μB per formula unit
# Calculated formation energy = -1.20 eV per atom
# Crystal system = orthorhombic
# Energy above the lowest structure with this stoichiometry = 0.000 eV/atom



# GGA-PBE TbNd3Pt3, optimized geometry
data_TbNd3Pt3
_chemical_formula_sum 'Tb2 Nd6 Pt6'
_symmetry_space_group_name_H-M 'P 1'
_symmetry_Int_Tables_number 1
_cell_length_a 7.152
_cell_length_b 7.152
_cell_length_c 7.286
_cell_angle_alpha 90.61
_cell_angle_beta 90.61
_cell_angle_gamma 97.34
loop_
_symmetry_equiv_pos_as_xyz
'x,y,z'
loop_
_atom_site_label
_atom_site_fract_x
_atom_site_fract_y
_atom_site_fract_z
Tb1 0.249 0.249 0.380
Tb2 0.751 0.751 0.620
Nd1 0.165 0.165 0.878
Nd2 0.249 0.751 0.500
Nd3 0.324 0.676 0.000
Nd4 0.676 0.324 0.000
Nd5 0.751 0.249 0.500
Nd6 0.835 0.835 0.122
Pt1 0.007 0.472 0.215
Pt2 0.439 0.439 0.690
Pt3 0.472 0.007 0.215
Pt4 0.528 0.993 0.785
Pt5 0.561 0.561 0.310
Pt6 0.993 0.528 0.785
# Total magnetic moment = 0.0 μB per formula unit
# Calculated formation energy = -0.92 eV per atom
# Crystal system = monoclinic



# GGA-PBE TbNdPt, optimized geometry
data_TbNdPt
_chemical_formula_sum 'Tb1 Nd1 Pt1'
_symmetry_space_group_name_H-M 'P 1'
_symmetry_Int_Tables_number 1
_cell_length_a 4.684
_cell_length_b 4.684
_cell_length_c 4.296
_cell_angle_alpha 90.00
_cell_angle_beta 90.00
_cell_angle_gamma 120.00
loop_
_symmetry_equiv_pos_as_xyz
'x,y,z'
loop_
_atom_site_label
_atom_site_fract_x
_atom_site_fract_y
_atom_site_fract_z
Tb1 0.000 0.000 0.000
Nd1 0.333 0.667 0.476
Pt1 0.667 0.333 0.795
# Total magnetic moment = 0.0 μB per formula unit
# Calculated formation energy = -0.64 eV per atom
# Crystal system = trigonal
# Energy above the lowest structure with this stoichiometry = 0.223 eV/atom



# GGA-PBE Tb3NdPt8, optimized geometry
data_Tb3NdPt8
_chemical_formula_sum 'Tb3 Nd1 Pt8'
_symmetry_space_group_name_H-M 'P 1'
_symmetry_Int_Tables_number 1
_cell_length_a 5.478
_cell_length_b 5.478
_cell_length_c 8.938
_cell_angle_alpha 90.00
_cell_angle_beta 90.00
_cell_angle_gamma 120.00
loop_
_symmetry_equiv_pos_as_xyz
'x,y,z'
loop_
_atom_site_label
_atom_site_fract_x
_atom_site_fract_y
_atom_site_fract_z
Tb1 0.000 0.000 0.000
Tb2 0.000 0.000 0.368
Tb3 0.333 0.667 0.875
Nd1 0.333 0.667 0.503
Pt1 0.004 0.502 0.185
Pt2 0.328 0.164 0.689
Pt3 0.498 0.502 0.185
Pt4 0.498 0.996 0.185
Pt5 0.667 0.333 0.436
Pt6 0.667 0.333 0.936
Pt7 0.836 0.164 0.689
Pt8 0.836 0.672 0.689
# Total magnetic moment = 0.0 μB per formula unit
# Calculated formation energy = -1.05 eV per atom
# Crystal system = trigonal
# Energy above the lowest structure with this stoichiometry = 0.055 eV/atom



# GGA-PBE Tb2NdPt, optimized geometry
data_Tb2NdPt
_chemical_formula_sum 'Tb8 Nd4 Pt4'
_symmetry_space_group_name_H-M 'P 1'
_symmetry_Int_Tables_number 1
_cell_length_a 7.164
_cell_length_b 9.702
_cell_length_c 6.597
_cell_angle_alpha 90.00
_cell_angle_beta 90.00
_cell_angle_gamma 90.00
loop_
_symmetry_equiv_pos_as_xyz
'x,y,z'
loop_
_atom_site_label
_atom_site_fract_x
_atom_site_fract_y
_atom_site_fract_z
Tb1 0.178 0.062 0.173
Tb2 0.178 0.438 0.173
Tb3 0.322 0.562 0.673
Tb4 0.322 0.938 0.673
Tb5 0.678 0.062 0.327
Tb6 0.678 0.438 0.327
Tb7 0.822 0.562 0.827
Tb8 0.822 0.938 0.827
Nd1 0.024 0.250 0.634
Nd2 0.476 0.750 0.134
Nd3 0.524 0.250 0.866
Nd4 0.976 0.750 0.366
Pt1 0.114 0.750 0.931
Pt2 0.386 0.250 0.431
Pt3 0.614 0.750 0.569
Pt4 0.886 0.250 0.069
# Total magnetic moment = 0.0 μB per formula unit
# Calculated formation energy = -0.68 eV per atom
# Crystal system = orthorhombic
# Energy above the lowest structure with this stoichiometry = 0.000 eV/atom



# GGA-PBE Tb2NdPt2, optimized geometry
data_Tb2NdPt2
_chemical_formula_sum 'Tb4 Nd2 Pt4'
_symmetry_space_group_name_H-M 'P 1'
_symmetry_Int_Tables_number 1
_cell_length_a 6.667
_cell_length_b 6.663
_cell_length_c 6.674
_cell_angle_alpha 90.00
_cell_angle_beta 118.33
_cell_angle_gamma 90.00
loop_
_symmetry_equiv_pos_as_xyz
'x,y,z'
loop_
_atom_site_label
_atom_site_fract_x
_atom_site_fract_y
_atom_site_fract_z
Tb1 0.000 0.249 0.000
Tb2 0.000 0.751 0.000
Tb3 0.500 0.251 0.000
Tb4 0.500 0.749 0.000
Nd1 0.000 0.500 0.500
Nd2 0.500 0.000 0.500
Pt1 0.120 0.000 0.725
Pt2 0.380 0.500 0.275
Pt3 0.620 0.500 0.725
Pt4 0.880 0.000 0.275
# Total magnetic moment = 0.0 μB per formula unit
# Calculated formation energy = -0.87 eV per atom
# Crystal system = monoclinic
# Energy above the lowest structure with this stoichiometry = 0.125 eV/atom